Model a:
! ZnAg2Se, optimized geometry, DFT PBE-GGA; values from VASP
! Space group ... R-3m, No. 166
&SYSTEM
  ibrav = 0, nat = 12, ntyp = 3
/
ATOMIC_SPECIES
Zn 65.41 Zn.upf
Ag 107.87 Ag.upf
Se 78.96 Se.upf
CELL_PARAMETERS angstrom
3.0058 0.0000 0.0000
-1.5029 2.6031 0.0000
0.0000 0.0000 27.9445
ATOMIC_POSITIONS crystal
Zn 0.0000 0.0000 0.0000
Zn 0.3333 0.6667 0.6667
Zn 0.6667 0.3333 0.3333
Ag 0.0000 0.0000 0.2557
Ag 0.0000 0.0000 0.7443
Ag 0.3333 0.6667 0.4110
Ag 0.3333 0.6667 0.9224
Ag 0.6667 0.3333 0.0776
Ag 0.6667 0.3333 0.5890
Se 0.0000 0.0000 0.5000
Se 0.3333 0.6667 0.1667
Se 0.6667 0.3333 0.8333

=====

Model b:
! ZnAg2Se, optimized geometry, DFT PBE-GGA; values from VASP
! Space group ... P2/m, No. 10
&SYSTEM
  ibrav = 0, nat = 4, ntyp = 3
/
ATOMIC_SPECIES
Zn 65.41 Zn.upf
Ag 107.87 Ag.upf
Se 78.96 Se.upf
CELL_PARAMETERS angstrom
2.9143 0.0000 0.0000
0.0000 4.0266 0.0000
-0.0280 0.0000 6.5250
ATOMIC_POSITIONS crystal
Zn 0.0000 0.0000 0.0000
Ag 0.4993 0.5000 0.2102
Ag 0.5007 0.5000 0.7898
Se 0.5000 0.0000 0.5000

=====

Model c:
! ZnAg2Se, optimized geometry, DFT PBE-GGA; values from VASP
! Space group ... Fm-3m, No. 225
&SYSTEM
  ibrav = 0, nat = 16, ntyp = 3
/
ATOMIC_SPECIES
Zn 65.41 Zn.upf
Ag 107.87 Ag.upf
Se 78.96 Se.upf
CELL_PARAMETERS angstrom
6.6873 0.0000 0.0000
0.0000 6.6873 0.0000
0.0000 0.0000 6.6873
ATOMIC_POSITIONS crystal
Zn 0.0000 0.0000 0.0000
Zn 0.0000 0.5000 0.5000
Zn 0.5000 0.0000 0.5000
Zn 0.5000 0.5000 0.0000
Ag 0.2500 0.2500 0.2500
Ag 0.2500 0.2500 0.7500
Ag 0.2500 0.7500 0.2500
Ag 0.2500 0.7500 0.7500
Ag 0.7500 0.2500 0.2500
Ag 0.7500 0.2500 0.7500
Ag 0.7500 0.7500 0.2500
Ag 0.7500 0.7500 0.7500
Se 0.0000 0.0000 0.5000
Se 0.0000 0.5000 0.0000
Se 0.5000 0.0000 0.0000
Se 0.5000 0.5000 0.5000

=====

Relative energy of each structure, in meV per atom: model a 77; model b 0; model c 47.

=====

Model a:
! ZnAg2Se, optimized geometry, DFT PBE-GGA; values from VASP
! Space group ... I4/mmm, No. 139
&SYSTEM
  ibrav = 0, nat = 8, ntyp = 3
/
ATOMIC_SPECIES
Zn 65.41 Zn.upf
Ag 107.87 Ag.upf
Se 78.96 Se.upf
CELL_PARAMETERS angstrom
4.1585 0.0000 0.0000
0.0000 4.1585 0.0000
0.0000 0.0000 8.4893
ATOMIC_POSITIONS crystal
Zn 0.0000 0.0000 0.0000
Zn 0.5000 0.5000 0.5000
Ag 0.0000 0.5000 0.2500
Ag 0.0000 0.5000 0.7500
Ag 0.5000 0.0000 0.2500
Ag 0.5000 0.0000 0.7500
Se 0.0000 0.0000 0.5000
Se 0.5000 0.5000 0.0000

=====

Model b:
! ZnAg2Se, optimized geometry, DFT PBE-GGA; values from VASP
! Space group ... P4mm, No. 99
&SYSTEM
  ibrav = 0, nat = 4, ntyp = 3
/
ATOMIC_SPECIES
Zn 65.41 Zn.upf
Ag 107.87 Ag.upf
Se 78.96 Se.upf
CELL_PARAMETERS angstrom
2.9836 0.0000 0.0000
0.0000 2.9836 0.0000
0.0000 0.0000 8.2578
ATOMIC_POSITIONS crystal
Zn 0.0000 0.0000 0.0000
Ag 0.0000 0.0000 0.4723
Ag 0.5000 0.5000 0.2196
Se 0.5000 0.5000 0.7463

=====

Relative energy of each structure, in meV per atom: model a 0; model b 57.

=====

Model a:
! ZnAgSe, optimized geometry, DFT PBE-GGA; values from VASP
! Space group ... F-43m, No. 216
&SYSTEM
  ibrav = 0, nat = 12, ntyp = 3
/
ATOMIC_SPECIES
Zn 65.41 Zn.upf
Ag 107.87 Ag.upf
Se 78.96 Se.upf
CELL_PARAMETERS angstrom
6.4304 0.0000 0.0000
0.0000 6.4304 0.0000
0.0000 0.0000 6.4304
ATOMIC_POSITIONS crystal
Zn 0.0000 0.0000 0.0000
Zn 0.0000 0.5000 0.5000
Zn 0.5000 0.0000 0.5000
Zn 0.5000 0.5000 0.0000
Ag 0.0000 0.0000 0.5000
Ag 0.0000 0.5000 0.0000
Ag 0.5000 0.0000 0.0000
Ag 0.5000 0.5000 0.5000
Se 0.2500 0.2500 0.7500
Se 0.2500 0.7500 0.2500
Se 0.7500 0.2500 0.2500
Se 0.7500 0.7500 0.7500

=====

Model b:
! ZnAgSe, optimized geometry, DFT PBE-GGA; values from VASP
! Space group ... I4mm, No. 107
&SYSTEM
  ibrav = 0, nat = 6, ntyp = 3
/
ATOMIC_SPECIES
Zn 65.41 Zn.upf
Ag 107.87 Ag.upf
Se 78.96 Se.upf
CELL_PARAMETERS angstrom
3.0232 0.0000 0.0000
0.0000 3.0232 0.0000
0.0000 0.0000 12.5289
ATOMIC_POSITIONS crystal
Zn 0.0000 0.0000 0.0000
Zn 0.5000 0.5000 0.5000
Ag 0.0000 0.0000 0.6418
Ag 0.5000 0.5000 0.1418
Se 0.0000 0.0000 0.3482
Se 0.5000 0.5000 0.8482

=====

Model c:
! ZnAgSe, optimized geometry, DFT PBE-GGA; values from VASP
! Space group ... P3m1, No. 156
&SYSTEM
  ibrav = 0, nat = 3, ntyp = 3
/
ATOMIC_SPECIES
Zn 65.41 Zn.upf
Ag 107.87 Ag.upf
Se 78.96 Se.upf
CELL_PARAMETERS angstrom
4.8912 0.0000 0.0000
-2.4456 4.2359 0.0000
0.0000 0.0000 2.8372
ATOMIC_POSITIONS crystal
Zn 0.0000 0.0000 0.0000
Ag 0.3333 0.6667 0.9982
Se 0.6667 0.3333 0.0012

=====

Relative energy of each structure, in meV per atom: model a 0; model b 101; model c 85.

=====

Model a:
! ZnAgSe, optimized geometry, DFT PBE-GGA; values from VASP
! Space group ... Fmm2, No. 42
&SYSTEM
  ibrav = 0, nat = 12, ntyp = 3
/
ATOMIC_SPECIES
Zn 65.41 Zn.upf
Ag 107.87 Ag.upf
Se 78.96 Se.upf
CELL_PARAMETERS angstrom
3.6362 0.0000 0.0000
0.0000 5.0224 0.0000
0.0000 0.0000 12.6264
ATOMIC_POSITIONS crystal
Zn 0.0000 0.0000 0.0000
Zn 0.0000 0.5000 0.5000
Zn 0.5000 0.0000 0.5000
Zn 0.5000 0.5000 0.0000
Ag 0.0000 0.0000 0.6521
Ag 0.0000 0.5000 0.1521
Ag 0.5000 0.0000 0.1521
Ag 0.5000 0.5000 0.6521
Se 0.0000 0.0000 0.3544
Se 0.0000 0.5000 0.8544
Se 0.5000 0.0000 0.8544
Se 0.5000 0.5000 0.3544

=====

Model b:
! ZnAgSe, optimized geometry, DFT PBE-GGA; values from VASP
! Space group ... P3m1, No. 156
&SYSTEM
  ibrav = 0, nat = 3, ntyp = 3
/
ATOMIC_SPECIES
Zn 65.41 Zn.upf
Ag 107.87 Ag.upf
Se 78.96 Se.upf
CELL_PARAMETERS angstrom
3.8670 0.0000 0.0000
-1.9335 3.3490 0.0000
0.0000 0.0000 4.7033
ATOMIC_POSITIONS crystal
Zn 0.0000 0.0000 0.0000
Ag 0.6667 0.3333 0.3568
Se 0.3333 0.6667 0.7368

=====

Relative energy of each structure, in meV per atom: model a 170; model b 0.

=====

Model a:
! ZnAg3Se, optimized geometry, DFT PBE-GGA; values from VASP
! Space group ... Pm-3m, No. 221
&SYSTEM
  ibrav = 0, nat = 5, ntyp = 3
/
ATOMIC_SPECIES
Zn 65.41 Zn.upf
Ag 107.87 Ag.upf
Se 78.96 Se.upf
CELL_PARAMETERS angstrom
4.8557 0.0000 0.0000
0.0000 4.8557 0.0000
0.0000 0.0000 4.8557
ATOMIC_POSITIONS crystal
Zn 0.0000 0.0000 0.0000
Ag 0.0000 0.0000 0.5000
Ag 0.0000 0.5000 0.0000
Ag 0.5000 0.0000 0.0000
Se 0.5000 0.5000 0.5000

=====

Model b:
! ZnAg3Se, optimized geometry, DFT PBE-GGA; values from VASP
! Space group ... Pm-3m, No. 221
&SYSTEM
  ibrav = 0, nat = 5, ntyp = 3
/
ATOMIC_SPECIES
Zn 65.41 Zn.upf
Ag 107.87 Ag.upf
Se 78.96 Se.upf
CELL_PARAMETERS angstrom
5.1139 0.0000 0.0000
0.0000 5.1139 0.0000
0.0000 0.0000 5.1139
ATOMIC_POSITIONS crystal
Zn 0.0000 0.0000 0.0000
Ag 0.0000 0.5000 0.5000
Ag 0.5000 0.0000 0.5000
Ag 0.5000 0.5000 0.0000
Se 0.5000 0.5000 0.5000

=====

Relative energy of each structure, in meV per atom: model a 122; model b 0.

=====

Model a:
! Zn3AgSe, optimized geometry, DFT PBE-GGA; values from VASP
! Space group ... Pm-3m, No. 221
&SYSTEM
  ibrav = 0, nat = 5, ntyp = 3
/
ATOMIC_SPECIES
Zn 65.41 Zn.upf
Ag 107.87 Ag.upf
Se 78.96 Se.upf
CELL_PARAMETERS angstrom
4.8926 0.0000 0.0000
0.0000 4.8926 0.0000
0.0000 0.0000 4.8926
ATOMIC_POSITIONS crystal
Zn 0.0000 0.0000 0.5000
Zn 0.0000 0.5000 0.0000
Zn 0.5000 0.0000 0.0000
Ag 0.0000 0.0000 0.0000
Se 0.5000 0.5000 0.5000

=====

Model b:
! Zn3AgSe, optimized geometry, DFT PBE-GGA; values from VASP
! Space group ... Pm-3m, No. 221
&SYSTEM
  ibrav = 0, nat = 5, ntyp = 3
/
ATOMIC_SPECIES
Zn 65.41 Zn.upf
Ag 107.87 Ag.upf
Se 78.96 Se.upf
CELL_PARAMETERS angstrom
4.9876 0.0000 0.0000
0.0000 4.9876 0.0000
0.0000 0.0000 4.9876
ATOMIC_POSITIONS crystal
Zn 0.0000 0.0000 0.5000
Zn 0.0000 0.5000 0.0000
Zn 0.5000 0.0000 0.0000
Ag 0.5000 0.5000 0.5000
Se 0.0000 0.0000 0.0000

=====

Relative energy of each structure, in meV per atom: model a 0; model b 111.

=====

Model a:
! Zr2AgSe2, optimized geometry, DFT PBE-GGA; values from VASP
! Space group ... P4/mbm, No. 127
&SYSTEM
  ibrav = 0, nat = 10, ntyp = 3
/
ATOMIC_SPECIES
Zr 91.22 Zr.upf
Ag 107.87 Ag.upf
Se 78.96 Se.upf
CELL_PARAMETERS angstrom
7.6779 0.0000 0.0000
0.0000 7.6779 0.0000
0.0000 0.0000 3.3769
ATOMIC_POSITIONS crystal
Zr 0.1506 0.3494 0.0000
Zr 0.3494 0.8494 0.0000
Zr 0.6506 0.1506 0.0000
Zr 0.8494 0.6506 0.0000
Ag 0.0000 0.0000 0.5000
Ag 0.5000 0.5000 0.5000
Se 0.1422 0.6422 0.5000
Se 0.3578 0.1422 0.5000
Se 0.6422 0.8578 0.5000
Se 0.8578 0.3578 0.5000

=====

Model b:
! Zr2AgSe2, optimized geometry, DFT PBE-GGA; values from VASP
! Space group ... P4/mbm, No. 127
&SYSTEM
  ibrav = 0, nat = 10, ntyp = 3
/
ATOMIC_SPECIES
Zr 91.22 Zr.upf
Ag 107.87 Ag.upf
Se 78.96 Se.upf
CELL_PARAMETERS angstrom
7.6347 0.0000 0.0000
0.0000 7.6347 0.0000
0.0000 0.0000 3.5012
ATOMIC_POSITIONS crystal
Zr 0.1468 0.3532 0.0000
Zr 0.3532 0.8532 0.0000
Zr 0.6468 0.1468 0.0000
Zr 0.8532 0.6468 0.0000
Ag 0.0000 0.0000 0.0000
Ag 0.5000 0.5000 0.0000
Se 0.1445 0.6445 0.5000
Se 0.3555 0.1445 0.5000
Se 0.6445 0.8555 0.5000
Se 0.8555 0.3555 0.5000

=====

Relative energy of each structure, in meV per atom: model a 45; model b 0.

=====

Model a:
! Zr3AgSe, optimized geometry, DFT PBE-GGA; values from VASP
! Space group ... Pm-3m, No. 221
&SYSTEM
  ibrav = 0, nat = 5, ntyp = 3
/
ATOMIC_SPECIES
Zr 91.22 Zr.upf
Ag 107.87 Ag.upf
Se 78.96 Se.upf
CELL_PARAMETERS angstrom
5.1597 0.0000 0.0000
0.0000 5.1597 0.0000
0.0000 0.0000 5.1597
ATOMIC_POSITIONS crystal
Zr 0.0000 0.0000 0.5000
Zr 0.0000 0.5000 0.0000
Zr 0.5000 0.0000 0.0000
Ag 0.0000 0.0000 0.0000
Se 0.5000 0.5000 0.5000

=====

Model b:
! Zr3AgSe, optimized geometry, DFT PBE-GGA; values from VASP
! Space group ... Pm-3m, No. 221
&SYSTEM
  ibrav = 0, nat = 5, ntyp = 3
/
ATOMIC_SPECIES
Zr 91.22 Zr.upf
Ag 107.87 Ag.upf
Se 78.96 Se.upf
CELL_PARAMETERS angstrom
4.9789 0.0000 0.0000
0.0000 4.9789 0.0000
0.0000 0.0000 4.9789
ATOMIC_POSITIONS crystal
Zr 0.0000 0.0000 0.5000
Zr 0.0000 0.5000 0.0000
Zr 0.5000 0.0000 0.0000
Ag 0.5000 0.5000 0.5000
Se 0.0000 0.0000 0.0000

=====

Relative energy of each structure, in meV per atom: model a 754; model b 0.